DFT (PBE) results for a relaxed CaLaIr2 crystal.

```
CaLaIr2
1.0
7.695 0.025 0.050
-2.912 3.716 0.000
1.871 1.469 2.991
Ca Ir La
1 2 1
Direct
0.500 0.500 0.000
0.000 0.000 0.000
0.500 0.000 0.500
0.000 0.500 0.500
```

Computed properties:
Polymorph energy (0 for the lowest one)   0.000 eV per atom
Energy of formation   -0.379 eV/atom
Fermi-level density of states   1.62 states/eV/f.u.
Total magnetization   0.0 μB per cell
Electronic total energy   -6.542 eV per atom